(1)
Here is a relaxed Tm3ZnAg crystal from the Alexandria database. Energies are from PBE.

Results
**Spin magnetization**: 0.0 μB/f.u.
**Energy above the lowest structure with this stoichiometry**: 14.14 kJ per mole of atoms
**ρ**: 8641 kg/m3
**Crystal system**: orthorhombic
**Volume**: 261.4 Å³ per cell
**ΔE_f**: -102 meV per atom
**E**: -3.61 eV per atom
**Symmetry**: Pmmn

Lattice parameters (Å, degrees): 4.058 7.002 9.199 90.00 90.00 90.00
Fractional positions:
Tm1 0.250 0.003 0.201
Tm2 0.250 0.250 0.556
Tm3 0.250 0.497 0.201
Tm4 0.750 0.503 0.799
Tm5 0.750 0.750 0.444
Tm6 0.750 0.997 0.799
Zn1 0.250 0.750 0.662
Zn2 0.750 0.250 0.338
Ag1 0.250 0.250 0.932
Ag2 0.750 0.750 0.068

=====

(2)
Here is a relaxed InCu3Br crystal from the Alexandria database. Energies are from PBE.

Results
**Spin magnetization**: 0.0 μB/f.u.
**Energy above the lowest structure with this stoichiometry**: 0.00 kJ per mole of atoms
**Formation energy (no corrections)**: 0.78 eV/atom
**ρ**: 5878 kg/m3
**Crystal system**: cubic
**Volume**: 108.9 Å³ per cell
**E**: -2.56 eV per atom
**Symmetry**: Pm-3m

Lattice parameters (Å, degrees): 4.775 4.775 4.775 90.00 90.00 90.00
Fractional positions:
In1 0.000 0.000 0.000
Cu1 0.000 0.500 0.500
Cu2 0.500 0.000 0.500
Cu3 0.500 0.500 0.000
Br1 0.500 0.500 0.500

=====

(3)
Here is a relaxed Ce4Dy crystal from the Alexandria database. Energies are from PBE.

Results
**Spin magnetization**: 0.0 μB/f.u.
**Energy above the lowest structure with this stoichiometry**: 0.00 kJ per mole of atoms
**ρ**: 8730 kg/m3
**Crystal system**: tetragonal
**Volume**: 137.5 Å³ per cell
**ΔE_f**: 77 meV per atom
**E**: -5.59 eV per atom
**Symmetry**: I4/m

Lattice parameters (Å, degrees): 5.874 5.874 5.874 99.50 99.50 132.05
Fractional positions:
Ce1 0.096 0.698 0.795
Ce2 0.302 0.096 0.398
Ce3 0.698 0.904 0.602
Ce4 0.904 0.302 0.205
Dy1 0.500 0.500 0.000

=====

> Among the records above, which one has the lowest ρ?

InCu3Br

=====

> E of number 3 (Ce4Dy)?

-5.59 eV per atom

=====

> What is the E in the second record?

-2.56 eV per atom

=====

> Which value of energy above the lowest structure with this stoichiometry does entry 3 give?

0.00 kJ per mole of atoms